VASP calculation (PBE) on a relaxed HfVTc2Pb crystal.

Values from the calculation:
The size of the total moment is 0.00 Bohr magnetons per cell. For the volume, the calculation gives 20.232 Å³ per atom. The calculation puts the total energy at -7.714 eV per atom.

Cell: 4.4831 4.4831 5.0334 Å, 90.00 90.00 90.00°
Space group P4/mmm (No. 123)
One atom of each set of equivalent atoms:
1 Hf 0.0000 0.0000 0.0000 (multiplicity 1)
2 V 0.5000 0.5000 0.5000 (multiplicity 1)
3 Tc 0.0000 0.5000 0.5000 (multiplicity 2)
4 Pb 0.5000 0.5000 0.0000 (multiplicity 1)